The following is a PBE-GGA calculation of a relaxed structure of ErTm2Tl4, from the Alexandria database.

DFT formation energy   1.8 kJ per mole of atoms
M_tot   0.00 μB per formula unit
Crystal system   monoclinic

Cell lengths 5.900, 3.462, 10.425 Å; angles 90.00, 103.27, 90.00 degrees
Space group P2/m (No. 10)
Unique sites:
1 Er 0.000 0.000 0.000
2 Tm 0.284 0.500 0.588
3 Tl 0.154 0.500 0.277
4 Tl 0.428 0.000 0.850